1.
DFT (PBE) results for a relaxed Tm5ZrRu6 crystal.

Geometry as extended XYZ:
```
12
Lattice="4.568 0.003 -1.276 -3.405 6.587 -3.403 -0.187 -0.948 8.102" Properties=species:S:1:pos:R:3 pbc="T T T"
Ru -0.284 2.610 -1.036
Ru 0.211 5.488 0.710
Ru 0.765 0.155 2.713
Ru 1.260 3.032 4.459
Tm 1.558 0.316 5.536
Ru -1.543 4.285 3.238
Tm 0.488 2.821 1.711
Zr 0.000 0.000 0.000
Tm -2.330 4.071 0.440
Ru 2.519 1.358 0.185
Tm -1.262 1.569 4.259
Tm -0.582 5.326 -2.113
```

Summary:
DFT total energy: -7.6821 eV per atom
energy of formation from the pure elements: -0.469 eV per atom
D(E_F): 11.80 states/eV/cell

2.
DFT (PBE) results for a relaxed CoIr2W crystal.

Geometry as extended XYZ:
```
4
Lattice="-0.728 -2.382 3.934 -0.786 -2.817 -3.623 2.635 -0.766 0.024" Properties=species:S:1:pos:R:3 pbc="T T T"
Co 0.924 -1.792 -1.800
W 0.953 -1.574 1.979
Ir -0.757 -2.600 0.155
Ir 0.000 0.000 0.000
```

Summary:
DFT total energy: -9.5243 eV per atom
energy of formation from the pure elements: -0.079 eV per atom
D(E_F): 4.57 states/eV/cell
energy relative to the lowest polymorph listed for this composition: 135 meV/atom

3.
DFT (PBE) results for a relaxed Zr2MnBe2Fe5 crystal.

Geometry as extended XYZ:
```
20
Lattice="-1.083 2.468 -1.952 -7.742 -0.247 3.984 2.810 5.838 5.821" Properties=species:S:1:pos:R:3 pbc="T T T"
Mn -2.466 2.796 4.903
Fe -4.814 3.607 4.394
Be -2.313 4.993 7.596
Fe -2.909 5.242 5.404
Fe -3.106 2.818 2.449
Zr -4.467 3.751 7.221
Be 0.820 3.583 4.074
Fe -1.990 1.554 0.232
Fe 1.185 5.829 3.875
Zr -0.187 4.724 6.076
Zr -0.465 1.841 2.585
Mn 0.000 0.000 0.000
Fe -4.413 1.111 1.016
Fe -1.201 4.453 3.460
Fe -4.025 6.506 7.622
Be -5.752 2.009 5.732
Be -2.619 0.599 2.210
Fe 0.863 4.153 1.934
Fe -7.200 2.231 3.978
Zr -4.745 0.868 3.730
```

Summary:
DFT total energy: -7.7080 eV per atom
energy of formation from the pure elements: -0.105 eV per atom
D(E_F): 22.91 states/eV/cell

4.
DFT (PBE) results for a relaxed SrCeAg crystal.

Geometry as extended XYZ:
```
6
Lattice="-3.301 -0.649 1.483 -0.894 -3.994 -3.737 5.358 -5.742 4.856" Properties=species:S:1:pos:R:3 pbc="T T T"
Sr 0.835 -8.484 2.704
Sr 0.328 -1.901 -0.102
Ag -1.654 -4.411 -1.054
Ce 0.119 -4.583 2.815
Ag 2.817 -5.973 3.656
Ce 1.045 -5.802 -0.213
```

Summary:
DFT total energy: -3.5326 eV per atom
energy of formation from the pure elements: -0.044 eV per atom
D(E_F): 12.91 states/eV/cell

5.
DFT (PBE) results for a relaxed Ta2VMoH crystal.

Geometry as extended XYZ:
```
5
Lattice="4.478 0.000 0.000 0.000 4.478 0.000 0.000 0.000 3.379" Properties=species:S:1:pos:R:3 pbc="T T T"
H 0.000 0.000 0.000
V 0.000 0.000 1.689
Ta 0.000 2.239 0.000
Mo 2.239 2.239 1.689
Ta 2.239 0.000 0.000
```

Summary:
DFT total energy: -9.5123 eV per atom
D(E_F): 3.18 states/eV/cell
energy relative to the lowest polymorph listed for this composition: 0 meV/atom

6.
DFT (PBE) results for a relaxed Mg2AgMo crystal.

Geometry as extended XYZ:
```
4
Lattice="5.162 0.012 0.000 1.865 4.813 0.000 -3.513 -2.412 2.912" Properties=species:S:1:pos:R:3 pbc="T T T"
Mo 3.513 2.412 0.000
Mg 0.933 2.407 1.456
Mg 0.000 0.000 0.000
Ag 2.581 0.006 1.456
```

Summary:
DFT total energy: -3.8045 eV per atom
energy of formation from the pure elements: 0.413 eV per atom
D(E_F): 2.74 states/eV/cell
energy relative to the lowest polymorph listed for this composition: 303 meV/atom

7.
DFT (PBE) results for a relaxed AlGaPCl crystal.

Geometry as extended XYZ:
```
8
Lattice="8.718 0.000 -0.017 0.000 3.494 0.000 -1.273 0.000 6.401" Properties=species:S:1:pos:R:3 pbc="T T T"
Al -0.175 1.747 3.789
Ga 5.631 1.747 3.311
Al 0.462 0.000 0.589
P 7.779 1.747 1.504
Cl 1.536 0.000 3.606
Ga 6.267 0.000 0.111
P 7.143 0.000 4.705
Cl 2.173 1.747 0.406
```

Summary:
E_form (uncorrected): -0.494 eV/atom
DFT total energy: -4.0004 eV per atom
energy relative to the lowest polymorph listed for this composition: 79 meV/atom

8.
DFT (PBE) results for a relaxed SbPIr2 crystal.

Geometry as extended XYZ:
```
4
Lattice="8.005 -1.539 0.001 8.005 1.539 0.001 7.709 0.000 2.649" Properties=species:S:1:pos:R:3 pbc="T T T"
P 11.859 0.000 1.325
Sb 0.000 0.000 0.000
Ir 5.615 0.000 0.627
Ir 18.102 0.000 2.023
```

Summary:
E_form (uncorrected): 0.078 eV/atom
DFT total energy: -6.7353 eV per atom
D(E_F): 1.75 states/eV/cell
energy relative to the lowest polymorph listed for this composition: 352 meV/atom

9.
DFT (PBE) results for a relaxed K2UBiS4 crystal.

Geometry as extended XYZ:
```
8
Lattice="-3.829 1.286 1.142 0.963 -2.928 6.526 2.517 7.296 0.226" Properties=species:S:1:pos:R:3 pbc="T T T"
S -1.163 1.435 2.202
K 1.740 2.184 3.376
Bi 0.000 0.000 0.000
K -0.656 4.291 0.684
S 2.267 5.002 1.970
S 0.812 4.218 5.692
S 1.213 -0.634 4.782
U -1.433 -0.821 3.834
```

Summary:
E_form (uncorrected): -1.072 eV/atom
DFT total energy: -5.3065 eV per atom
D(E_F): 3.89 states/eV/cell

10.
DFT (PBE) results for a relaxed Li5U3O12 crystal.

Geometry as extended XYZ:
```
80
Lattice="10.409 0.000 0.000 -3.470 9.814 0.000 -3.470 -4.907 8.499" Properties=species:S:1:pos:R:3 pbc="T T T"
O 4.445 1.502 1.176
O 2.055 6.177 0.774
O 4.700 5.411 4.651
O 4.229 -0.684 4.963
O 1.669 6.450 3.475
Li -0.867 2.453 2.125
U -4.337 4.907 6.374
O 2.240 1.131 2.762
O 0.505 6.038 5.737
O 7.259 4.942 1.487
O 3.404 1.543 5.024
Li 4.337 4.294 3.187
Li 2.602 1.840 1.062
O 2.965 -1.131 2.762
O -0.320 6.212 0.713
O 3.790 1.270 7.725
Li 1.735 2.453 4.250
U 6.072 3.067 1.062
O -4.229 2.720 6.138
Li -1.735 -2.453 4.250
O -0.759 5.591 3.536
U 0.867 4.907 2.125
O -3.790 -0.035 7.012
Li -2.602 5.520 3.187
O 7.005 -2.238 5.425
Li -1.735 4.907 0.000
O -1.415 0.035 7.012
O -1.800 -3.781 8.097
O -1.800 2.238 5.425
O 7.699 2.186 2.361
U 4.337 0.613 3.187
O 5.270 8.688 0.402
O -2.711 8.312 1.176
O 5.709 -0.627 1.889
Li 4.337 -3.067 7.437
O -0.505 0.627 1.889
Li 3.470 -2.453 4.250
Li -0.867 0.613 5.312
O -3.535 7.145 3.074
O 1.230 3.776 5.737
O 6.874 1.126 0.402
U 6.072 6.747 1.062
Li 4.337 2.453 6.374
Li 0.867 3.067 7.437
O -2.240 5.534 6.610
O 6.180 -3.405 7.323
Li 0.867 -2.453 6.374
O -0.320 3.637 0.774
O 3.790 -1.306 7.786
O 4.885 4.872 1.487
O 6.435 0.504 3.848
O -2.965 4.403 4.651
O -0.976 3.405 7.323
Li 2.602 7.360 2.125
O 1.415 1.306 7.786
Li 3.470 4.907 0.000
O 2.055 3.601 0.713
O -0.976 -2.720 6.138
U 2.602 0.000 6.374
O 0.065 3.364 3.475
Li -3.470 2.453 4.250
O -3.404 3.781 8.097
Li -0.867 7.974 1.062
U -0.867 4.294 5.312
O 2.494 4.223 3.536
Li 6.072 -0.613 5.312
O -1.230 -0.504 3.848
O 4.445 7.627 2.361
U 2.602 5.520 5.312
O 1.800 -1.543 5.024
Li 0.000 0.000 0.000
U -2.602 1.840 7.437
Li 5.205 0.000 0.000
O 1.415 -1.270 7.725
U 0.867 -0.613 3.187
U -2.602 -1.840 7.437
O 0.976 0.684 4.963
O 5.270 2.669 3.074
O 3.975 4.280 6.610
U 7.807 0.000 2.125
```

Summary:
E_form (uncorrected): -2.513 eV/atom
DFT total energy: -7.6592 eV per atom
D(E_F): 34.52 states/eV/cell

11.
DFT (PBE) results for a relaxed Mg2TcN crystal.

Geometry as extended XYZ:
```
8
Lattice="-4.982 -6.371 -0.381 4.285 -2.981 -6.190 0.795 -5.646 -2.026" Properties=species:S:1:pos:R:3 pbc="T T T"
Mg -0.609 -12.003 -6.409
Tc 0.000 0.000 0.000
N -0.349 -4.676 -3.285
N 2.365 -6.651 -5.750
Tc -2.268 -8.346 -2.846
Mg -1.688 -4.881 -1.465
Mg 0.930 -8.155 -4.843
Mg 1.562 -4.956 -4.475
```

Summary:
E_form (uncorrected): 0.106 eV/atom
DFT total energy: -5.3645 eV per atom
D(E_F): 4.72 states/eV/cell

12.
DFT (PBE) results for a relaxed Np3Ge2Pt5 crystal.

Geometry as extended XYZ:
```
20
Lattice="-2.133 -2.695 -4.434 6.648 -4.306 -4.130 -2.978 -7.969 2.726" Properties=species:S:1:pos:R:3 pbc="T T T"
Pt 3.023 -8.256 -3.535
Ge 4.879 -7.522 -4.873
Ge 4.369 -3.571 -3.480
Pt 0.236 -8.158 -4.028
Pt -1.486 -6.713 -2.304
Np -0.802 -5.850 0.392
Pt 2.486 -4.260 -2.155
Np 2.135 -5.674 -4.677
Np 2.340 -9.119 -6.230
Pt -0.194 -4.341 -2.592
Ge -3.342 -7.447 -0.965
Pt 0.872 -2.994 -0.375
Pt 0.665 -11.975 -5.464
Pt 1.302 -6.811 -1.811
Ge -2.831 -11.397 -2.359
Pt 1.732 -10.628 -3.247
Np -1.599 -2.021 -3.326
Np -0.533 -0.674 -1.109
Np -0.597 -9.295 -1.162
Pt -0.948 -10.708 -3.683
```

Summary:
DFT total energy: -8.1765 eV per atom
energy of formation from the pure elements: -0.350 eV per atom
D(E_F): 49.06 states/eV/cell

13.
DFT (PBE) results for a relaxed LiBi4Rh2 crystal.

Geometry as extended XYZ:
```
7
Lattice="-2.192 -0.575 -3.827 -1.055 -4.099 -1.364 -9.653 -0.956 3.088" Properties=species:S:1:pos:R:3 pbc="T T T"
Rh -5.679 -4.503 -3.824
Bi -3.469 -3.024 -2.728
Bi -8.493 -4.306 -2.242
Li 0.000 0.000 0.000
Bi -4.406 -1.325 0.138
Bi -9.431 -2.606 0.624
Rh -7.220 -1.127 1.720
```

Summary:
DFT total energy: -4.8019 eV per atom
energy of formation from the pure elements: -0.210 eV per atom
D(E_F): 4.67 states/eV/cell

14.
DFT (PBE) results for a relaxed Ce3PrSm4Se8 crystal.

Geometry as extended XYZ:
```
16
Lattice="8.383 0.000 0.000 0.000 8.402 0.010 -4.191 -4.186 5.930" Properties=species:S:1:pos:R:3 pbc="T T T"
Se 4.191 4.225 2.985
Sm 2.096 -2.093 2.965
Ce -2.096 2.108 2.970
Sm 0.000 0.000 0.000
Se 2.110 6.332 0.017
Ce 4.191 4.201 0.005
Sm -2.096 -2.093 2.965
Se -2.082 -2.116 5.923
Se 2.082 -2.116 5.923
Se 4.191 -0.006 2.937
Ce 2.096 2.108 2.970
Se 0.000 4.222 3.003
Se 0.000 -0.009 2.955
Se 6.273 6.332 0.017
Pr 0.000 4.201 0.005
Sm 4.191 0.000 0.000
```

Summary:
E_form (uncorrected): -1.830 eV/atom
DFT total energy: -6.1631 eV per atom
D(E_F): 21.89 states/eV/cell

15.
DFT (PBE) results for a relaxed LiB2Os crystal.

Geometry as extended XYZ:
```
4
Lattice="3.585 0.000 0.000 1.793 3.105 0.000 1.793 1.035 4.278" Properties=species:S:1:pos:R:3 pbc="T T T"
Os 3.585 2.070 2.139
B 5.378 3.105 2.609
B 1.793 1.035 1.669
Li 0.000 0.000 0.000
```

Summary:
DFT total energy: -6.2122 eV per atom
energy of formation from the pure elements: 0.412 eV per atom
D(E_F): 0.67 states/eV/cell
energy relative to the lowest polymorph listed for this composition: 81 meV/atom

16.
DFT (PBE) results for a relaxed SmThC crystal.

Geometry as extended XYZ:
```
6
Lattice="4.111 -0.189 -0.305 0.008 6.042 -0.210 1.055 1.455 6.118" Properties=species:S:1:pos:R:3 pbc="T T T"
Sm 2.488 2.017 1.101
C 2.589 1.660 5.594
Sm 2.686 5.290 4.502
Th 4.707 2.024 4.137
C 2.584 5.647 0.009
Th 0.466 5.283 1.465
```

Summary:
DFT total energy: -7.1755 eV per atom
energy of formation from the pure elements: -0.055 eV per atom
D(E_F): 6.15 states/eV/cell
energy relative to the lowest polymorph listed for this composition: 133 meV/atom

17.
DFT (PBE) results for a relaxed Pr6Er3Tm2 crystal.

Geometry as extended XYZ:
```
11
Lattice="6.379 -1.462 2.201 -1.599 5.917 -0.286 3.101 -1.726 11.524" Properties=species:S:1:pos:R:3 pbc="T T T"
Pr 1.820 4.288 3.722
Pr 5.656 1.357 3.975
Er 6.285 -1.673 6.024
Tm 2.632 1.019 2.043
Pr 5.427 1.323 7.749
Er 1.596 4.403 7.414
Pr 6.060 -1.559 9.716
Er 0.000 0.000 0.000
Pr 2.454 1.406 5.689
Pr 2.225 1.373 9.463
Tm 5.249 1.711 11.395
```

Summary:
DFT total energy: -4.5837 eV per atom
energy of formation from the pure elements: 0.081 eV per atom
D(E_F): 17.38 states/eV/cell
energy relative to the lowest polymorph listed for this composition: 0 meV/atom

18.
DFT (PBE) results for a relaxed CaIn15Hg4 crystal.

Geometry as extended XYZ:
```
20
Lattice="-0.951 -0.030 -4.615 3.759 -2.739 -0.757 -13.514 -19.356 2.914" Properties=species:S:1:pos:R:3 pbc="T T T"
In -12.632 -17.426 0.313
In -10.277 -18.780 2.242
In -9.416 -16.882 -0.353
Hg -10.846 -15.534 2.338
In -4.878 -11.047 1.078
In -4.513 -5.798 -1.437
In -1.290 -5.243 -2.105
In -2.158 -7.152 0.492
In -6.692 -12.979 -0.941
Hg -5.390 -7.719 1.162
In 0.521 -3.315 -0.086
Hg -8.125 -11.637 1.752
In 1.404 -1.385 -2.686
In -4.015 -9.146 -1.518
In -1.834 -1.961 -2.015
In -9.953 -13.589 -0.264
In -7.233 -9.693 -0.851
Ca 0.000 0.000 0.000
In -7.597 -14.943 1.665
Hg -2.669 -3.822 0.575
```

Summary:
DFT total energy: -2.2650 eV per atom
energy of formation from the pure elements: -0.051 eV per atom
D(E_F): 7.08 states/eV/cell

19.
DFT (PBE) results for a relaxed Pu2AgBr8 crystal.

Geometry as extended XYZ:
```
11
Lattice="-2.925 4.897 -0.115 -7.470 -4.679 -2.691 -4.307 -2.545 7.740" Properties=species:S:1:pos:R:3 pbc="T T T"
Br -5.991 1.640 5.221
Br -5.508 -1.729 2.024
Br -9.941 -4.296 3.893
Pu -3.330 -0.483 1.108
Br -8.711 -3.966 -0.287
Br -9.195 -0.598 2.910
Br -7.991 0.290 -1.376
Pu -11.373 -1.844 3.826
Br -6.711 -2.617 6.310
Ag 0.000 0.000 0.000
Br -4.762 1.969 1.041
```

Summary:
E_form (uncorrected): -1.061 eV/atom
DFT total energy: -5.1422 eV per atom
D(E_F): 26.74 states/eV/cell
energy relative to the lowest polymorph listed for this composition: 41 meV/atom